1.
## Nd6TlBr8 (PBE)

Data for Nd6TlBr8 after structural relaxation.

```
data_Nd6TlBr8
_cell_length_a 7.2056
_cell_length_b 7.2056
_cell_length_c 33.7795
_cell_angle_alpha 90.00
_cell_angle_beta 90.00
_cell_angle_gamma 120.00
_symmetry_space_group_name_H-M 'R -3'
_symmetry_Int_Tables_number 148
_symmetry_space_group_name_Hall '-R 3'
loop_
_atom_site_label
_atom_site_type_symbol
_atom_site_fract_x
_atom_site_fract_y
_atom_site_fract_z
_atom_site_occupancy
Nd1 Nd 0.9998 0.3422 0.4454 1
Tl1 Tl 0.0000 0.0000 0.5000 1
Br1 Br 0.0000 0.0000 0.1667 1
Br2 Br 0.0000 0.3215 0.6099 1
```

2.
## NdTl3Br6 (PBE)

Data for NdTl3Br6 after structural relaxation.

```
data_NdTl3Br6
_cell_length_a 7.880
_cell_length_b 8.690
_cell_length_c 13.492
_cell_angle_alpha 90.00
_cell_angle_beta 122.06
_cell_angle_gamma 90.00
_symmetry_space_group_name_H-M 'P 1 21/c 1'
_symmetry_Int_Tables_number 14
loop_
_symmetry_equiv_pos_as_xyz
'x,y,z'
'-x,-y,-z'
'-x,y+1/2,-z+1/2'
'x,-y+1/2,z+1/2'
loop_
_atom_site_label
_atom_site_type_symbol
_atom_site_fract_x
_atom_site_fract_y
_atom_site_fract_z
_atom_site_occupancy
Nd1 Nd 0.000 0.000 0.000 1
Tl1 Tl 0.300 0.080 0.770 1
Tl2 Tl 0.500 0.000 0.500 1
Br1 Br 0.094 0.066 0.235 1
Br2 Br 0.244 0.722 0.083 1
Br3 Br 0.353 0.169 0.047 1
```

3.
## NdTl2Br6 (PBE)

Data for NdTl2Br6 after structural relaxation.

```
data_NdTl2Br6
_cell_length_a 4.392
_cell_length_b 15.359
_cell_length_c 8.330
_cell_angle_alpha 90.00
_cell_angle_beta 90.00
_cell_angle_gamma 90.00
_symmetry_space_group_name_H-M 'A m m 2'
_symmetry_Int_Tables_number 38
loop_
_symmetry_equiv_pos_as_xyz
'x,y,z'
'-x,-y,z'
'-x,y,z'
'x,-y,z'
'x,y+1/2,z+1/2'
'-x,-y+1/2,z+1/2'
'-x,y+1/2,z+1/2'
'x,-y+1/2,z+1/2'
loop_
_atom_site_label
_atom_site_type_symbol
_atom_site_fract_x
_atom_site_fract_y
_atom_site_fract_z
_atom_site_occupancy
Nd1 Nd 0.000 0.000 0.000 1
Tl1 Tl 0.500 0.166 0.494 1
Br1 Br 0.000 0.000 0.626 1
Br2 Br 0.000 0.189 0.206 1
Br3 Br 0.500 0.000 0.250 1
Br4 Br 0.500 0.121 0.886 1
```

4.
## NdTl4Br7 (PBE)

Data for NdTl4Br7 after structural relaxation.

```
data_NdTl4Br7
_cell_length_a 22.289
_cell_length_b 5.670
_cell_length_c 7.952
_cell_angle_alpha 90.00
_cell_angle_beta 107.50
_cell_angle_gamma 90.00
_symmetry_space_group_name_H-M 'C 1 2/m 1'
_symmetry_Int_Tables_number 12
loop_
_symmetry_equiv_pos_as_xyz
'x,y,z'
'-x,-y,-z'
'-x,y,-z'
'x,-y,z'
'x+1/2,y+1/2,z'
'-x+1/2,-y+1/2,-z'
'-x+1/2,y+1/2,-z'
'x+1/2,-y+1/2,z'
loop_
_atom_site_label
_atom_site_type_symbol
_atom_site_fract_x
_atom_site_fract_y
_atom_site_fract_z
_atom_site_occupancy
Nd1 Nd 0.000 0.000 0.000 1
Tl1 Tl 0.086 0.500 0.636 1
Tl2 Tl 0.198 0.500 0.252 1
Br1 Br 0.000 0.500 0.000 1
Br2 Br 0.078 0.000 0.363 1
Br3 Br 0.114 0.000 0.895 1
Br4 Br 0.224 0.500 0.666 1
```

no.,uncorrected formation energy (eV/atom)
1,-1.35
2,-1.28
3,-1.14
4,-1.16